Version 1
PBE HgPdSO, optimized geometry; calculated volume = 544.6 Å³/cell; symmetry = No. 61
1.0
7.2355 0.0000 0.0000
0.0000 9.2272 0.0000
0.0000 0.0000 8.1579
Hg Pd S O
8 8 8 8
direct
0.2459 0.0460 0.0068
0.2459 0.4540 0.5068
0.2541 0.5460 0.0068
0.2541 0.9540 0.5068
0.7459 0.0460 0.4932
0.7459 0.4540 0.9932
0.7541 0.5460 0.4932
0.7541 0.9540 0.9932
0.0084 0.7176 0.2437
0.0084 0.7824 0.7437
0.4916 0.2176 0.2437
0.4916 0.2824 0.7437
0.5084 0.7176 0.2563
0.5084 0.7824 0.7563
0.9916 0.2176 0.2563
0.9916 0.2824 0.7563
0.0560 0.5326 0.7473
0.0560 0.9674 0.2473
0.4440 0.0326 0.7473
0.4440 0.4674 0.2473
0.5560 0.5326 0.7527
0.5560 0.9674 0.2527
0.9440 0.0326 0.7527
0.9440 0.4674 0.2527
0.2459 0.2165 0.3761
0.2459 0.2835 0.8761
0.2541 0.7165 0.3761
0.2541 0.7835 0.8761
0.7459 0.2165 0.1239
0.7459 0.2835 0.6239
0.7541 0.7165 0.1239
0.7541 0.7835 0.6239

***

Version 2
PBE HgPdSO, optimized geometry; calculated volume = 571.7 Å³/cell; symmetry = No. 61
1.0
6.2884 0.0000 0.0000
0.0000 6.5806 0.0000
0.0000 0.0000 13.8160
Hg Pd S O
8 8 8 8
direct
0.0021 0.0113 0.2485
0.0021 0.4887 0.7485
0.4979 0.5113 0.2485
0.4979 0.9887 0.7485
0.5021 0.0113 0.2515
0.5021 0.4887 0.7515
0.9979 0.5113 0.2515
0.9979 0.9887 0.7515
0.0137 0.2373 0.9908
0.0137 0.2627 0.4908
0.4863 0.7373 0.9908
0.4863 0.7627 0.4908
0.5137 0.2373 0.5092
0.5137 0.2627 0.0092
0.9863 0.7373 0.5092
0.9863 0.7627 0.0092
0.2352 0.0007 0.5563
0.2352 0.4993 0.0563
0.2648 0.5007 0.5563
0.2648 0.9993 0.0563
0.7352 0.0007 0.9437
0.7352 0.4993 0.4437
0.7648 0.5007 0.9437
0.7648 0.9993 0.4437
0.1405 0.2392 0.8162
0.1405 0.2608 0.3162
0.3595 0.7392 0.8162
0.3595 0.7608 0.3162
0.6405 0.2392 0.6838
0.6405 0.2608 0.1838
0.8595 0.7392 0.6838
0.8595 0.7608 0.1838

***

Version 3
PBE HgPdSO, optimized geometry; calculated volume = 277.1 Å³/cell; symmetry = No. 62
1.0
6.9682 0.0000 0.0000
0.0000 3.2601 0.0000
0.0000 0.0000 12.1999
Hg Pd S O
4 4 4 4
direct
0.0494 0.2500 0.2383
0.4506 0.7500 0.7383
0.5494 0.2500 0.2617
0.9506 0.7500 0.7617
0.2418 0.2500 0.9763
0.2582 0.7500 0.4763
0.7418 0.2500 0.5237
0.7582 0.7500 0.0237
0.2035 0.2500 0.6031
0.2965 0.7500 0.1031
0.7035 0.2500 0.8969
0.7965 0.7500 0.3969
0.2147 0.7500 0.8619
0.2853 0.2500 0.3619
0.7147 0.7500 0.6381
0.7853 0.2500 0.1381

***

Here are the energies relative to the best structure, in meV per atom: version 1 20; version 2 14; version 3 0.

***

Version 1
PBE HgPdSO, optimized geometry; calculated volume = 137.9 Å³/cell; symmetry = No. 36
1.0
1.6375 -6.1558 0.0000
1.6375 6.1558 0.0000
0.0000 0.0000 6.8412
Hg Pd S O
2 2 2 2
direct
0.0366 0.9634 0.5000
0.9634 0.0366 0.0000
0.2794 0.7206 0.7011
0.7206 0.2794 0.2011
0.3432 0.6568 0.2712
0.6568 0.3432 0.7712
0.1059 0.8941 0.2037
0.8941 0.1059 0.7037

***

Version 2
PBE HgPdSO, optimized geometry; calculated volume = 278.2 Å³/cell; symmetry = No. 29
1.0
6.3042 0.0000 0.0000
0.0000 7.3236 0.0000
0.0000 0.0000 6.0248
Hg Pd S O
4 4 4 4
direct
0.0343 0.1544 0.0000
0.4657 0.1544 0.5000
0.5343 0.8456 0.0000
0.9657 0.8456 0.5000
0.0874 0.6948 0.0452
0.4126 0.6948 0.5452
0.5874 0.3052 0.0452
0.9126 0.3052 0.5452
0.1198 0.5550 0.6978
0.3802 0.5550 0.1978
0.6198 0.4450 0.6978
0.8802 0.4450 0.1978
0.1187 0.1159 0.4004
0.3813 0.1159 0.9004
0.6187 0.8841 0.4004
0.8813 0.8841 0.9004

***

Here are the energies relative to the best structure, in meV per atom: version 1 0; version 2 39.

***

Version 1
PBE HgPdSO, optimized geometry; calculated volume = 126.7 Å³/cell; symmetry = No. 63
1.0
1.8054 -6.3826 0.0000
1.8054 6.3826 0.0000
0.0000 0.0000 5.4975
Hg Pd S O
2 2 2 2
direct
0.0741 0.9259 0.7500
0.9259 0.0741 0.2500
0.3552 0.6448 0.7500
0.6448 0.3552 0.2500
0.2620 0.7380 0.2500
0.7380 0.2620 0.7500
0.5000 0.5000 0.0000
0.5000 0.5000 0.5000

***

Version 2
PBE HgPdSO, optimized geometry; calculated volume = 136.6 Å³/cell; symmetry = No. 129
1.0
3.9096 0.0000 0.0000
0.0000 3.9096 0.0000
0.0000 0.0000 8.9398
Hg Pd S O
2 2 2 2
direct
0.2500 0.2500 0.1450
0.7500 0.7500 0.8550
0.2500 0.2500 0.6639
0.7500 0.7500 0.3361
0.2500 0.7500 0.5000
0.7500 0.2500 0.5000
0.2500 0.2500 0.8991
0.7500 0.7500 0.1009

***

Here are the energies relative to the best structure, in meV per atom: version 1 0; version 2 27.

***

Version 1
PBE HgPdSO, optimized geometry; calculated volume = 261.6 Å³/cell; symmetry = No. 62
1.0
6.0047 0.0000 0.0000
0.0000 3.5157 0.0000
0.0000 0.0000 12.3917
Hg Pd S O
4 4 4 4
direct
0.2339 0.2500 0.0103
0.2661 0.7500 0.5103
0.7339 0.2500 0.4897
0.7661 0.7500 0.9897
0.0639 0.2500 0.7509
0.4361 0.7500 0.2509
0.5639 0.2500 0.7491
0.9361 0.7500 0.2491
0.1637 0.2500 0.3437
0.3363 0.7500 0.8437
0.6637 0.2500 0.1563
0.8363 0.7500 0.6563
0.1889 0.7500 0.1347
0.3111 0.2500 0.6347
0.6889 0.7500 0.3653
0.8111 0.2500 0.8653

***

Version 2
PBE HgPdSO, optimized geometry; calculated volume = 139.9 Å³/cell; symmetry = No. 129
1.0
4.1463 0.0000 0.0000
0.0000 4.1463 0.0000
0.0000 0.0000 8.1357
Hg Pd S O
2 2 2 2
direct
0.2500 0.2500 0.1647
0.7500 0.7500 0.8353
0.2500 0.2500 0.5363
0.7500 0.7500 0.4637
0.2500 0.2500 0.8370
0.7500 0.7500 0.1630
0.2500 0.7500 0.5000
0.7500 0.2500 0.5000

***

Version 3
PBE HgPdSO, optimized geometry; calculated volume = 178.6 Å³/cell; symmetry = No. 129
1.0
4.0737 0.0000 0.0000
0.0000 4.0737 0.0000
0.0000 0.0000 10.7642
Hg Pd S O
2 2 2 2
direct
0.2500 0.2500 0.0359
0.7500 0.7500 0.9641
0.2500 0.7500 0.5000
0.7500 0.2500 0.5000
0.2500 0.2500 0.6210
0.7500 0.7500 0.3790
0.2500 0.2500 0.7606
0.7500 0.7500 0.2394

***

Here are the energies relative to the best structure, in meV per atom: version 1 165; version 2 298; version 3 0.

***

Version 1
PBE HgPdSO, optimized geometry; calculated volume = 132.0 Å³/cell; symmetry = No. 36
1.0
1.7706 -6.2591 0.0000
1.7706 6.2591 0.0000
0.0000 0.0000 5.9563
Hg Pd S O
2 2 2 2
direct
0.2378 0.7622 0.5000
0.7622 0.2378 0.0000
0.4994 0.5006 0.7234
0.5006 0.4994 0.2234
0.0933 0.9067 0.9621
0.9067 0.0933 0.4621
0.3848 0.6152 0.9757
0.6152 0.3848 0.4757

***

Version 2
PBE HgPdSO, optimized geometry; calculated volume = 144.8 Å³/cell; symmetry = No. 186
1.0
3.6557 0.0000 0.0000
-1.8278 3.1659 0.0000
0.0000 0.0000 12.5095
Hg Pd S O
2 2 2 2
direct
0.3333 0.6667 0.0000
0.6667 0.3333 0.5000
0.0000 0.0000 0.2411
0.0000 0.0000 0.7411
0.3333 0.6667 0.3208
0.6667 0.3333 0.8208
0.0000 0.0000 0.0690
0.0000 0.0000 0.5690

***

Here are the energies relative to the best structure, in meV per atom: version 1 0; version 2 65.

***

Version 1
PBE HgPdSO, optimized geometry; calculated volume = 151.0 Å³/cell; symmetry = No. 129
1.0
4.7153 0.0000 0.0000
0.0000 4.7153 0.0000
0.0000 0.0000 6.7929
Hg Pd S O
2 2 2 2
direct
0.2500 0.2500 0.1807
0.7500 0.7500 0.8193
0.2500 0.2500 0.5819
0.7500 0.7500 0.4181
0.2500 0.7500 0.5000
0.7500 0.2500 0.5000
0.2500 0.2500 0.8801
0.7500 0.7500 0.1199

***

Version 2
PBE HgPdSO, optimized geometry; calculated volume = 296.7 Å³/cell; symmetry = No. 19
1.0
4.6801 0.0000 0.0000
0.0000 7.1247 0.0000
0.0000 0.0000 8.8982
Hg Pd S O
4 4 4 4
direct
0.0703 0.1614 0.4060
0.4297 0.8386 0.9060
0.5703 0.3386 0.5940
0.9297 0.6614 0.0940
0.0801 0.6511 0.4465
0.4199 0.3489 0.9465
0.5801 0.8489 0.5535
0.9199 0.1511 0.0535
0.0756 0.9161 0.5940
0.4244 0.0839 0.0940
0.5756 0.5839 0.4060
0.9244 0.4161 0.9060
0.0824 0.4194 0.2975
0.4176 0.5806 0.7975
0.5824 0.0806 0.7025
0.9176 0.9194 0.2025

***

Here are the energies relative to the best structure, in meV per atom: version 1 194; version 2 0.